DFT (PBE) results for crystalline AgMo2Os at its relaxed geometry.

N(E_F)   3.09 states/eV/f.u.
Formation energy from the elements   0.4772 eV per atom
Calculated volume   15.84 A^3/atom
Offset from the most stable computed form   196 meV/atom
Magnetization   0.00 Bohr magnetons per cell

a b c (Å): 4.964 4.964 4.746
angles (deg): 101.23 101.23 33.60
Positions (direct):
Ag1 0.000 0.000 0.000
Mo1 0.242 0.242 0.727
Mo2 0.758 0.758 0.273
Os1 0.500 0.500 0.500